(1)
Compound: BaAl
Source: Alexandria
Functional: PBE
Structure: optimized geometry

VASP energy   -1.998 eV per atom
D(E_F)   1.37 states/eV/atom
ΔH_f (0 K)   0.835 eV per atom
Space-group type   Pm-3n

Cell lengths 9.5626, 9.5626, 9.5626 Å; angles 90.00, 90.00, 90.00 degrees
Closest atoms and distances in Å follow each position.
Sites, in units of the cell vectors:
1 Ba 0.5000 0.2500 0.0000  4 Al 3.38
2 Ba 0.5000 0.7500 0.0000  4 Al 3.38
3 Ba 0.0000 0.5000 0.2500  4 Al 3.38
4 Ba 0.2500 0.0000 0.5000  4 Al 3.38
5 Ba 0.0000 0.5000 0.7500  4 Al 3.38
6 Ba 0.7500 0.0000 0.5000  4 Al 3.38
7 Al 0.2500 0.5000 0.0000  4 Ba 3.38
8 Al 0.5000 0.0000 0.7500  4 Ba 3.38
9 Al 0.5000 0.0000 0.2500  4 Ba 3.38
10 Al 0.0000 0.2500 0.5000  4 Ba 3.38
11 Al 0.7500 0.5000 0.0000  4 Ba 3.38
12 Al 0.0000 0.7500 0.5000  4 Ba 3.38


(2)
Compound: Ba5Al4
Source: Alexandria
Functional: PBE
Structure: optimized geometry

VASP energy   -2.657 eV per atom
D(E_F)   1.58 states/eV/atom
ΔH_f (0 K)   0.075 eV per atom
Space-group type   P6_3/mcm

Cell lengths 10.2440, 10.2440, 7.6474 Å; angles 90.00, 90.00, 120.00 degrees
Closest atoms and distances in Å follow each position.
Sites, in units of the cell vectors:
1 Ba 0.6667 0.3333 0.5000  6 Al 3.78, 8 Ba 3.82-4.12
2 Ba 0.7096 0.7096 0.7500  5 Al 3.42-3.54
3 Ba 0.0000 0.7096 0.2500  5 Al 3.42-3.54
4 Ba 0.3333 0.6667 0.0000  6 Al 3.78, 8 Ba 3.82-4.12
5 Ba 0.2904 0.0000 0.7500  5 Al 3.42-3.54
6 Ba 0.7096 0.0000 0.2500  5 Al 3.42-3.54
7 Ba 0.3333 0.6667 0.5000  6 Al 3.78, 8 Ba 3.82-4.12
8 Ba 0.6667 0.3333 0.0000  6 Al 3.78, 8 Ba 3.82-4.12
9 Ba 0.2904 0.2904 0.2500  5 Al 3.42-3.54
10 Ba 0.0000 0.2904 0.7500  5 Al 3.42-3.54
11 Al 0.6352 0.6352 0.2500  7 Ba 3.42-3.78
12 Al 0.0000 0.3648 0.2500  7 Ba 3.42-3.78
13 Al 0.0000 0.0000 0.0000  6 Ba 3.54, 2 Al 3.82
14 Al 0.3648 0.3648 0.7500  7 Ba 3.42-3.78
15 Al 0.3648 0.0000 0.2500  7 Ba 3.42-3.78
16 Al 0.0000 0.6352 0.7500  7 Ba 3.42-3.78
17 Al 0.6352 0.0000 0.7500  7 Ba 3.42-3.78
18 Al 0.0000 0.0000 0.5000  6 Ba 3.54, 2 Al 3.82


(3)
Compound: BaAl
Source: Alexandria
Functional: PBE
Structure: optimized geometry

VASP energy   -3.026 eV per atom
D(E_F)   0.59 states/eV/atom
ΔH_f (0 K)   -0.194 eV per atom
Space-group type   R-3m

Cell lengths 9.6038, 9.6038, 9.6038 Å; angles 27.59, 27.59, 27.59 degrees
Closest atoms and distances in Å follow each position.
Sites, in units of the cell vectors:
1 Al 0.6668 0.6668 0.6668  3 Al 2.64
2 Al 0.3332 0.3332 0.3332  3 Al 2.64
3 Ba 0.9118 0.9118 0.9118  6 Al 3.60
4 Ba 0.0882 0.0882 0.0882  6 Al 3.60


(4)
Compound: Ba7Al
Source: Alexandria
Functional: PBE
Structure: optimized geometry

VASP energy   -2.027 eV per atom
D(E_F)   1.53 states/eV/atom
ΔH_f (0 K)   0.123 eV per atom
Space-group type   Fm-3m

Cell lengths 8.4477, 8.4477, 8.4477 Å; angles 60.00, 60.00, 60.00 degrees
Closest atoms and distances in Å follow each position.
Sites, in units of the cell vectors:
1 Al 0.0000 0.0000 0.0000  12 Ba 4.22
2 Ba 0.5000 0.0000 0.0000  10 Ba 4.22, 2 Al 4.22
3 Ba 0.0000 0.0000 0.5000  10 Ba 4.22, 2 Al 4.22
4 Ba 0.5000 0.5000 0.5000  12 Ba 4.22
5 Ba 0.5000 0.5000 0.0000  10 Ba 4.22, 2 Al 4.22
6 Ba 0.5000 0.0000 0.5000  10 Ba 4.22, 2 Al 4.22
7 Ba 0.0000 0.5000 0.0000  10 Ba 4.22, 2 Al 4.22
8 Ba 0.0000 0.5000 0.5000  10 Ba 4.22, 2 Al 4.22


(5)
Compound: Ba4Al3
Source: Alexandria
Functional: PBE
Structure: optimized geometry

VASP energy   -2.602 eV per atom
D(E_F)   1.27 states/eV/atom
ΔH_f (0 K)   0.100 eV per atom
Space-group type   P6/mmm

Cell lengths 6.3024, 6.3024, 7.3511 Å; angles 90.00, 90.00, 120.00 degrees
Closest atoms and distances in Å follow each position.
Sites, in units of the cell vectors:
1 Ba 0.6667 0.3333 0.5000  3 Ba 3.64
2 Ba 0.0000 0.0000 0.2275  1 Ba 3.34, 6 Al 3.57
3 Ba 0.0000 0.0000 0.7725  1 Ba 3.34, 6 Al 3.57
4 Ba 0.3333 0.6667 0.5000  3 Ba 3.64
5 Al 0.5000 0.5000 0.0000  4 Al 3.15
6 Al 0.5000 0.0000 0.0000  4 Al 3.15
7 Al 0.0000 0.5000 0.0000  4 Al 3.15


(6)
Compound: Ba7Al13
Source: Alexandria
Functional: PBE
Structure: optimized geometry

VASP energy   -3.318 eV per atom
D(E_F)   0.58 states/eV/atom
ΔH_f (0 K)   -0.213 eV per atom
Space-group type   P-3m1

Cell lengths 6.0612, 6.0612, 17.2868 Å; angles 90.00, 90.00, 120.00 degrees
Closest atoms and distances in Å follow each position.
Sites, in units of the cell vectors:
1 Al 0.0000 0.5000 0.5000  6 Al 3.03-3.15
2 Al 0.3215 0.1607 0.7845  4 Al 2.72-2.92
3 Al 0.6785 0.8393 0.2155  4 Al 2.72-2.92
4 Al 0.8393 0.1607 0.7845  4 Al 2.72-2.92
5 Al 0.8393 0.6785 0.7845  4 Al 2.72-2.92
6 Al 0.3333 0.6667 0.3482  6 Al 2.92-3.15
7 Al 0.3333 0.6667 0.0980  3 Al 2.72
8 Al 0.6667 0.3333 0.9020  3 Al 2.72
9 Al 0.5000 0.5000 0.5000  6 Al 3.03-3.15
10 Al 0.5000 0.0000 0.5000  6 Al 3.03-3.15
11 Al 0.1607 0.3215 0.2155  4 Al 2.72-2.92
12 Al 0.6667 0.3333 0.6518  6 Al 2.92-3.15
13 Al 0.1607 0.8393 0.2155  4 Al 2.72-2.92
14 Ba 0.6667 0.3333 0.1085  10 Al 3.50-3.57, 1 Ba 3.70
15 Ba 0.6667 0.3333 0.3223  12 Al 3.53-3.55, 4 Ba 3.70
16 Ba 0.0000 0.0000 0.0000  12 Al 3.89-4.09, 6 Ba 3.97
17 Ba 0.3333 0.6667 0.8915  10 Al 3.50-3.57, 1 Ba 3.70
18 Ba 0.0000 0.0000 0.3924  12 Al 3.49-3.58, 4 Ba 3.70-3.72
19 Ba 0.0000 0.0000 0.6076  12 Al 3.49-3.58, 4 Ba 3.70-3.72
20 Ba 0.3333 0.6667 0.6777  12 Al 3.53-3.55, 4 Ba 3.70


Question: Which of these has the lowest D(E_F)?
Answer: Ba7Al13


Repeat the sixth record exactly.
Compound: Ba7Al13
Source: Alexandria
Functional: PBE
Structure: optimized geometry

VASP energy   -3.318 eV per atom
D(E_F)   0.58 states/eV/atom
ΔH_f (0 K)   -0.213 eV per atom
Space-group type   P-3m1

Cell lengths 6.0612, 6.0612, 17.2868 Å; angles 90.00, 90.00, 120.00 degrees
Closest atoms and distances in Å follow each position.
Sites, in units of the cell vectors:
1 Al 0.0000 0.5000 0.5000  6 Al 3.03-3.15
2 Al 0.3215 0.1607 0.7845  4 Al 2.72-2.92
3 Al 0.6785 0.8393 0.2155  4 Al 2.72-2.92
4 Al 0.8393 0.1607 0.7845  4 Al 2.72-2.92
5 Al 0.8393 0.6785 0.7845  4 Al 2.72-2.92
6 Al 0.3333 0.6667 0.3482  6 Al 2.92-3.15
7 Al 0.3333 0.6667 0.0980  3 Al 2.72
8 Al 0.6667 0.3333 0.9020  3 Al 2.72
9 Al 0.5000 0.5000 0.5000  6 Al 3.03-3.15
10 Al 0.5000 0.0000 0.5000  6 Al 3.03-3.15
11 Al 0.1607 0.3215 0.2155  4 Al 2.72-2.92
12 Al 0.6667 0.3333 0.6518  6 Al 2.92-3.15
13 Al 0.1607 0.8393 0.2155  4 Al 2.72-2.92
14 Ba 0.6667 0.3333 0.1085  10 Al 3.50-3.57, 1 Ba 3.70
15 Ba 0.6667 0.3333 0.3223  12 Al 3.53-3.55, 4 Ba 3.70
16 Ba 0.0000 0.0000 0.0000  12 Al 3.89-4.09, 6 Ba 3.97
17 Ba 0.3333 0.6667 0.8915  10 Al 3.50-3.57, 1 Ba 3.70
18 Ba 0.0000 0.0000 0.3924  12 Al 3.49-3.58, 4 Ba 3.70-3.72
19 Ba 0.0000 0.0000 0.6076  12 Al 3.49-3.58, 4 Ba 3.70-3.72
20 Ba 0.3333 0.6667 0.6777  12 Al 3.53-3.55, 4 Ba 3.70


Question: What is the D(E_F) in the second record?
Answer: 1.58 states/eV/atom